(1)
FeTc | Alexandria via LeMat-Bulk | PBE | optimized geometry; spin magnetization = 6.67 μB per cell; uncorrected energy = -9.37 eV/atom; space group = P6_3/mmc; formation enthalpy at 0 K = 0.0463 eV per atom
1.0
4.711 0.000 0.000
-2.356 4.080 0.000
0.000 0.000 7.923
Fe Tc
6 6
Direct
0.174 0.826 0.750
0.826 0.651 0.250
0.349 0.174 0.250
0.651 0.826 0.750
0.174 0.349 0.750
0.826 0.174 0.250
0.667 0.333 0.926
0.333 0.667 0.426
0.667 0.333 0.574
0.333 0.667 0.074
0.000 0.000 0.500
0.000 0.000 0.000

(2)
ReAg2Pt | Alexandria via LeMat-Bulk | PBE | optimized geometry; offset from the most stable computed form = 143 meV per atom; spin magnetization = 0.46 μB per cell; uncorrected energy = -5.72 eV/atom; space group = R-3m; formation enthalpy at 0 K = 0.3243 eV per atom
1.0
-1.776 -9.101 2.805
0.704 -9.531 1.581
0.587 -8.687 4.247
Re Ag Pt
1 2 1
Direct
0.750 0.750 0.750
0.000 0.000 0.000
0.500 0.500 0.500
0.250 0.250 0.250

(3)
UMn2H | Alexandria via LeMat-Bulk | PBE | optimized geometry; spin magnetization = 3.55 μB per cell; uncorrected energy = -7.88 eV/atom; space group = R-3m
1.0
-0.954 2.604 0.875
-1.842 0.196 2.242
4.146 1.405 5.170
H Mn U
1 2 1
Direct
0.500 0.500 0.500
0.117 0.117 0.650
0.883 0.883 0.350
0.000 0.000 0.000

(4)
MnOsSe | Alexandria via LeMat-Bulk | PBE | optimized geometry; offset from the most stable computed form = 181 meV per atom; spin magnetization = 0.01 μB per cell; uncorrected energy = -7.53 eV/atom; formation energy (no corrections) = 0.436 eV per atom; space group = Cm
1.0
-5.405 -1.703 2.321
1.275 -0.995 2.238
2.132 6.065 1.482
Mn Os Se
2 2 2
Direct
0.128 0.000 0.721
0.128 0.500 0.221
0.881 0.000 0.354
0.881 0.500 0.854
0.423 0.000 0.155
0.423 0.500 0.655

(5)
Cs4Ce3PuSe8 | Alexandria via LeMat-Bulk | PBE | optimized geometry; spin magnetization = 8.00 μB per cell; uncorrected energy = -5.58 eV/atom; formation energy (no corrections) = -1.617 eV per atom; space group = R-3m
1.0
8.828 0.000 0.000
0.000 9.767 0.667
-4.414 -4.417 6.242
Cs Ce Pu Se
4 3 1 8
Direct
0.500 0.000 0.000
0.500 0.000 0.500
0.000 0.000 0.000
0.000 0.000 0.500
0.500 0.500 0.000
0.500 0.500 0.500
0.000 0.500 0.500
0.000 0.500 0.000
0.229 0.687 0.958
0.229 0.687 0.458
0.270 0.311 0.540
0.729 0.687 0.958
0.271 0.313 0.042
0.730 0.689 0.460
0.771 0.313 0.542
0.771 0.313 0.042

(6)
Sc3Tc | Alexandria via LeMat-Bulk | PBE | optimized geometry; spin magnetization = 0.00 μB per cell; uncorrected energy = -7.37 eV/atom; space group = I4/mmm; formation enthalpy at 0 K = -0.0256 eV per atom
1.0
4.823 0.000 0.000
-2.411 4.154 0.077
0.000 2.726 3.979
Sc Tc
3 1
Direct
0.000 0.000 0.000
0.500 0.000 0.500
0.750 0.500 0.750
0.250 0.500 0.250

(7)
La3Ta2N5O2 | Alexandria via LeMat-Bulk | PBE | optimized geometry; spin magnetization = 0.00 μB per cell; uncorrected energy = -9.40 eV/atom; formation energy (no corrections) = -1.899 eV per atom; space group = I4/mmm
1.0
-0.248 3.356 -2.328
2.148 -1.877 -2.934
-9.741 -4.282 -1.538
La Ta N O
3 2 5 2
Direct
0.182 0.182 0.364
0.818 0.818 0.636
0.000 0.000 0.000
0.404 0.404 0.807
0.596 0.596 0.193
0.604 0.104 0.209
0.396 0.896 0.791
0.104 0.604 0.209
0.896 0.396 0.791
0.500 0.500 0.000
0.705 0.705 0.410
0.295 0.295 0.590

(8)
BeOs3Pb | Alexandria via LeMat-Bulk | PBE | optimized geometry; offset from the most stable computed form = 0 meV per atom; spin magnetization = 1.39 μB per cell; uncorrected energy = -7.26 eV/atom; space group = Pm-3m; formation enthalpy at 0 K = 0.9608 eV per atom
1.0
4.253 0.000 0.000
0.000 4.253 0.000
0.000 0.000 4.253
Pb Be Os
1 1 3
Direct
0.500 0.500 0.500
0.000 0.000 0.000
0.000 0.500 0.000
0.000 0.000 0.500
0.500 0.000 0.000